1.
# PBE Ac5Y12Tl3, relaxed
# * VASP energy: -4.46 eV/atom
# * energy of formation from the pure elements: 0.80 eV per atom
data_Ac5Y12Tl3
_cell_length_a 16.585
_cell_length_b 16.585
_cell_length_c 16.585
_cell_angle_alpha 109.47
_cell_angle_beta 109.47
_cell_angle_gamma 109.47
_symmetry_space_group_name_H-M 'P 1'
_symmetry_Int_Tables_number 1
loop_
_symmetry_equiv_pos_as_xyz
'x,y,z'
loop_
_atom_site_label
_atom_site_type_symbol
_atom_site_fract_x
_atom_site_fract_y
_atom_site_fract_z
Y1 Y 0.265 0.417 0.853
Y2 Y 0.647 0.412 0.565
Ac1 Ac 0.000 0.500 0.000
Y3 Y 0.265 0.847 0.912
Tl1 Tl 0.375 0.750 0.625
Y4 Y 0.917 0.853 0.765
Ac2 Ac 0.250 0.875 0.125
Ac3 Ac 0.875 0.625 0.750
Y5 Y 0.147 0.083 0.735
Y6 Y 0.435 0.088 0.353
Tl2 Tl 0.375 0.625 0.250
Tl3 Tl 0.125 0.250 0.875
Y7 Y 0.583 0.847 0.435
Y8 Y 0.235 0.588 0.653
Y9 Y 0.735 0.153 0.088
Y10 Y 0.565 0.653 0.417
Ac4 Ac 0.625 0.750 0.875
Tl4 Tl 0.875 0.750 0.125
Ac5 Ac 0.375 0.250 0.125
Y11 Y 0.088 0.435 0.853
Tl5 Tl 0.875 0.125 0.250
Y12 Y 0.353 0.588 0.435
Ac6 Ac 0.875 0.250 0.625
Y13 Y 0.153 0.417 0.065
Tl6 Tl 0.125 0.875 0.750
Y14 Y 0.153 0.735 0.588
Y15 Y 0.147 0.065 0.912
Y16 Y 0.088 0.653 0.735
Y17 Y 0.347 0.912 0.765
Y18 Y 0.083 0.935 0.347
Tl7 Tl 0.750 0.375 0.125
Y19 Y 0.853 0.917 0.265
Y20 Y 0.083 0.147 0.235
Y21 Y 0.065 0.917 0.153
Tl8 Tl 0.250 0.125 0.375
Ac7 Ac 0.500 0.500 0.000
Tl9 Tl 0.625 0.250 0.375
Y22 Y 0.065 0.147 0.412
Y23 Y 0.647 0.235 0.583
Y24 Y 0.765 0.412 0.347
Tl10 Tl 0.625 0.375 0.750
Y25 Y 0.735 0.583 0.147
Y26 Y 0.412 0.765 0.847
Ac8 Ac 0.000 0.500 0.500
Ac9 Ac 0.750 0.125 0.875
Y27 Y 0.765 0.353 0.917
Y28 Y 0.935 0.083 0.847
Y29 Y 0.417 0.265 0.353
Y30 Y 0.235 0.647 0.083
Y31 Y 0.917 0.065 0.653
Y32 Y 0.653 0.088 0.235
Y33 Y 0.912 0.347 0.265
Ac10 Ac 0.500 0.500 0.500
Ac11 Ac 0.000 0.000 0.000
Y34 Y 0.417 0.153 0.565
Tl11 Tl 0.250 0.625 0.875
Y35 Y 0.435 0.347 0.583
Y36 Y 0.588 0.235 0.153
Y37 Y 0.588 0.353 0.935
Y38 Y 0.653 0.565 0.917
Ac12 Ac 0.125 0.375 0.250
Y39 Y 0.847 0.265 0.412
Y40 Y 0.412 0.647 0.065
Ac13 Ac 0.375 0.125 0.750
Ac14 Ac 0.500 0.000 0.000
Y41 Y 0.853 0.935 0.088
Y42 Y 0.347 0.435 0.083
Ac15 Ac 0.250 0.375 0.625
Y43 Y 0.353 0.765 0.417
Ac16 Ac 0.000 0.000 0.500
Ac17 Ac 0.750 0.625 0.375
Y44 Y 0.912 0.565 0.147
Ac18 Ac 0.500 0.000 0.500
Y45 Y 0.935 0.853 0.588
Ac19 Ac 0.625 0.875 0.250
Y46 Y 0.847 0.583 0.935
Ac20 Ac 0.125 0.750 0.375
Y47 Y 0.583 0.735 0.647
Tl12 Tl 0.750 0.875 0.625
Y48 Y 0.565 0.912 0.647



2.
# PBE Ac2Y3Tl2, relaxed
# * VASP energy: -4.81 eV/atom
# * energy of formation from the pure elements: -0.19 eV per atom
data_Ac2Y3Tl2
_cell_length_a 4.786
_cell_length_b 6.842
_cell_length_c 8.559
_cell_angle_alpha 110.26
_cell_angle_beta 90.00
_cell_angle_gamma 110.48
_symmetry_space_group_name_H-M 'P 1'
_symmetry_Int_Tables_number 1
loop_
_symmetry_equiv_pos_as_xyz
'x,y,z'
loop_
_atom_site_label
_atom_site_type_symbol
_atom_site_fract_x
_atom_site_fract_y
_atom_site_fract_z
Y1 Y 0.627 0.255 0.443
Tl1 Tl 0.845 0.689 0.782
Ac1 Ac 0.858 0.715 0.208
Tl2 Tl 0.155 0.311 0.218
Y2 Y 0.500 0.000 0.000
Ac2 Ac 0.142 0.285 0.792
Y3 Y 0.373 0.745 0.557



3.
# PBE AcYTl, relaxed
# * VASP energy: -4.21 eV/atom
# * energy of formation from the pure elements: 0.11 eV per atom
data_AcYTl
_cell_length_a 3.949
_cell_length_b 8.009
_cell_length_c 8.009
_cell_angle_alpha 83.44
_cell_angle_beta 90.00
_cell_angle_gamma 90.00
_symmetry_space_group_name_H-M 'P 1'
_symmetry_Int_Tables_number 1
loop_
_symmetry_equiv_pos_as_xyz
'x,y,z'
loop_
_atom_site_label
_atom_site_type_symbol
_atom_site_fract_x
_atom_site_fract_y
_atom_site_fract_z
Tl1 Tl 0.500 0.500 0.500
Ac1 Ac 0.000 0.276 0.276
Tl2 Tl 0.000 0.000 0.000
Y1 Y 0.500 0.781 0.219
Ac2 Ac 0.000 0.724 0.724
Y2 Y 0.500 0.219 0.781



4.
# PBE AcYTl3, relaxed
# * VASP energy: -3.82 eV/atom
# * energy of formation from the pure elements: -0.29 eV per atom
data_AcYTl3
_cell_length_a 5.092
_cell_length_b 3.886
_cell_length_c 15.856
_cell_angle_alpha 97.04
_cell_angle_beta 90.00
_cell_angle_gamma 90.00
_symmetry_space_group_name_H-M 'P 1'
_symmetry_Int_Tables_number 1
loop_
_symmetry_equiv_pos_as_xyz
'x,y,z'
loop_
_atom_site_label
_atom_site_type_symbol
_atom_site_fract_x
_atom_site_fract_y
_atom_site_fract_z
Tl1 Tl 0.250 0.690 0.380
Ac1 Ac 0.750 0.920 0.840
Tl2 Tl 0.750 0.627 0.254
Tl3 Tl 0.250 0.474 0.948
Tl4 Tl 0.250 0.373 0.746
Tl5 Tl 0.750 0.526 0.052
Y1 Y 0.250 0.789 0.578
Ac2 Ac 0.250 0.080 0.160
Y2 Y 0.750 0.211 0.422
Tl6 Tl 0.750 0.310 0.620